Here is a relaxed Y2TlZn5 crystal from the Alexandria database. Energies are from PBE.

Total magnetization in μB/cell: 0.00
DOS(E_F) in states/eV per cell: 10.4
Energy in eV per atom: -3.018

Unit cell a=4.342 b=8.450 c=9.104 alpha=90.00 beta=90.00 gamma=104.89
Element x y z (fractional)
Y 0.798 0.596 0.750
Y 0.202 0.404 0.250
Y 0.000 0.000 0.000
Y 0.000 0.000 0.500
Tl 0.449 0.898 0.750
Tl 0.551 0.102 0.250
Zn 0.188 0.376 0.891
Zn 0.812 0.624 0.109
Zn 0.188 0.376 0.609
Zn 0.812 0.624 0.391
Zn 0.345 0.689 0.982
Zn 0.655 0.311 0.018
Zn 0.345 0.689 0.518
Zn 0.655 0.311 0.482
Zn 0.611 0.222 0.750
Zn 0.389 0.778 0.250